(1)
VASP calculation (PBE) on CeTmCo2H8 after structural relaxation. Values from VASP.

The calculated volume comes out at 8.5 Å³ per atom. As for the density of states at the Fermi level: 0.2833 states/eV/atom. The uncorrected energy comes out at -4.542 eV per atom.

```
&SYSTEM
  ibrav = 0, nat = 12, ntyp = 4
/
ATOMIC_SPECIES
Ce 140.12 Ce.upf
Tm 168.93 Tm.upf
Co 58.93 Co.upf
H 1.01 H.upf
ATOMIC_POSITIONS crystal
Ce 0.500 0.500 0.500
Tm 0.000 0.000 0.000
Co 0.231 0.231 0.308
Co 0.769 0.769 0.692
H 0.140 0.140 0.581
H 0.453 0.453 0.167
H 0.860 0.860 0.419
H 0.926 0.453 0.167
H 0.074 0.547 0.833
H 0.453 0.926 0.167
H 0.547 0.074 0.833
H 0.547 0.547 0.833
CELL_PARAMETERS angstrom
-1.619 1.650 3.763
-3.091 -2.225 2.237
2.747 -3.058 5.114
```

***

(2)
VASP calculation (PBE) on KAu3Br after structural relaxation. Values from VASP.

The calculated volume comes out at 37.3 Å³ per atom. The value obtained for the formation energy from raw total energies is 1.12 eV per atom. As for the density of states at the Fermi level: 2.1474 states/eV/atom. Its polymorph energy (0 for the lowest one) is 360 kJ/mol of formula units. The uncorrected energy comes out at -1.404 eV per atom.

```
&SYSTEM
  ibrav = 0, nat = 5, ntyp = 3
/
ATOMIC_SPECIES
K 39.10 K.upf
Au 196.97 Au.upf
Br 79.90 Br.upf
ATOMIC_POSITIONS crystal
K 0.000 0.000 0.000
Au 0.000 0.500 0.000
Au 0.000 0.000 0.500
Au 0.500 0.000 0.000
Br 0.500 0.500 0.500
CELL_PARAMETERS angstrom
5.711 0.000 0.000
0.000 5.711 0.000
0.000 0.000 5.711
```

***

(3)
VASP calculation (PBE) on W2BrCl after structural relaxation. Values from VASP.

The calculated volume comes out at 17.9 Å³ per atom. The value obtained for the formation energy from raw total energies is 1.19 eV per atom. As for the density of states at the Fermi level: 0.9897 states/eV/atom. Its polymorph energy (0 for the lowest one) is 487 kJ/mol of formula units. The uncorrected energy comes out at -6.165 eV per atom.

```
&SYSTEM
  ibrav = 0, nat = 4, ntyp = 3
/
ATOMIC_SPECIES
Br 79.90 Br.upf
W 183.84 W.upf
Cl 35.45 Cl.upf
ATOMIC_POSITIONS crystal
Br 0.500 0.000 0.500
W 0.000 0.000 0.000
W 0.500 0.500 0.000
Cl 0.000 0.500 0.500
CELL_PARAMETERS angstrom
2.859 0.000 0.000
0.000 5.479 0.000
0.000 0.000 4.578
```

***

(4)
VASP calculation (PBE) on Mg2AlPd after structural relaxation. Values from VASP.

The calculated volume comes out at 21.8 Å³ per atom. As for the density of states at the Fermi level: 0.3635 states/eV/atom. The value obtained for the formation energy is -0.10 eV per atom. The uncorrected energy comes out at -3.131 eV per atom.

```
&SYSTEM
  ibrav = 0, nat = 8, ntyp = 3
/
ATOMIC_SPECIES
Mg 24.30 Mg.upf
Al 26.98 Al.upf
Pd 106.42 Pd.upf
ATOMIC_POSITIONS crystal
Mg 0.712 0.125 0.250
Mg 0.038 0.625 0.250
Mg 0.375 0.288 0.750
Mg 0.875 0.962 0.750
Al 0.500 0.500 0.000
Al 0.250 0.750 0.500
Pd 0.000 0.000 0.000
Pd 0.750 0.250 0.500
CELL_PARAMETERS angstrom
-3.283 0.744 -7.582
7.580 -0.507 -3.332
1.915 -2.404 -5.604
```

***

(5)
VASP calculation (PBE) on Pm12ZnHg6 after structural relaxation. Values from VASP.

The calculated volume comes out at 29.0 Å³ per atom. As for the density of states at the Fermi level: 1.0635 states/eV/atom. The value obtained for the formation energy is -0.20 eV per atom. The uncorrected energy comes out at -3.368 eV per atom.

```
&SYSTEM
  ibrav = 0, nat = 19, ntyp = 3
/
ATOMIC_SPECIES
Pm 145.00 Pm.upf
Zn 65.41 Zn.upf
Hg 200.59 Hg.upf
ATOMIC_POSITIONS crystal
Pm 0.809 0.538 0.436
Pm 0.436 0.809 0.538
Pm 0.538 0.436 0.809
Pm 0.191 0.462 0.564
Pm 0.564 0.191 0.462
Pm 0.462 0.564 0.191
Pm 0.045 0.110 0.359
Pm 0.890 0.641 0.955
Pm 0.641 0.955 0.890
Pm 0.955 0.890 0.641
Pm 0.110 0.359 0.045
Pm 0.359 0.045 0.110
Zn 0.000 0.000 0.000
Hg 0.725 0.879 0.272
Hg 0.728 0.275 0.121
Hg 0.121 0.728 0.275
Hg 0.275 0.121 0.728
Hg 0.272 0.725 0.879
Hg 0.879 0.272 0.725
CELL_PARAMETERS angstrom
8.155 0.550 0.659
-0.692 8.145 0.659
-0.692 -0.807 8.131
```

***

In the order shown, the computed total magnetization values come out to 0.2381 0.0000 0.0433 0.0000 0.0000 μB per atom.